# Dy3BiPd12

A relaxed structure of Dy3BiPd12 (GGA-PBE, the Alexandria database).

Unit cell a=4.1257 b=4.1257 c=16.5047 alpha=90.00 beta=90.00 gamma=90.00
Closest atoms and distances in Å follow each position.
Space group P4/mmm (No. 123)
Asymmetric unit:
Dy  0.0000  0.0000  0.0000 (multiplicity 1)  12 Pd 2.92
Dy  0.0000  0.0000  0.2467 (multiplicity 2)  12 Pd 2.88-2.96
Bi  0.0000  0.0000  0.5000 (multiplicity 1)  12 Pd 2.91-2.92
Pd  0.0000  0.5000  0.1251 (multiplicity 4)  4 Dy 2.88-2.92, 8 Pd 2.92-2.95
Pd  0.0000  0.5000  0.3755 (multiplicity 4)  8 Pd 2.89-2.92, 2 Bi 2.91, 2 Dy 2.96
Pd  0.5000  0.5000  0.0000 (multiplicity 1)  4 Dy 2.92, 8 Pd 2.92
Pd  0.5000  0.5000  0.2526 (multiplicity 2)  8 Pd 2.89-2.95, 4 Dy 2.92
Pd  0.5000  0.5000  0.5000 (multiplicity 1)  8 Pd 2.91, 4 Bi 2.92

Output
The value obtained for the formation energy from the elements is -727 meV/atom. The calculation puts the volume at 17.56 Å³ per atom. For the total energy, the calculation gives -91.63 eV per cell.

# Dy5Bi2Pd

A relaxed structure of Dy5Bi2Pd (GGA-PBE, the Alexandria database).

Unit cell a=5.5803 b=15.4023 c=13.5637 alpha=90.00 beta=90.00 gamma=90.00
Closest atoms and distances in Å follow each position.
Space group Cmcm (No. 63)
Asymmetric unit:
Dy  0.0000  0.0853  0.1151 (multiplicity 8)  1 Pd 2.78, 1 Bi 3.06
Dy  0.0000  0.2840  0.7500 (multiplicity 4)  2 Pd 2.79
Dy  0.0000  0.3043  0.0438 (multiplicity 8)  1 Pd 3.08, 2 Bi 3.15
Bi  0.0000  0.1195  0.6075 (multiplicity 8)  5 Dy 3.06-3.19
Pd  0.0000  0.2212  0.2500 (multiplicity 4)  6 Dy 2.78-3.08

Output
The value obtained for the formation energy from the elements is -235 meV/atom. The calculation puts the volume at 36.43 Å³ per atom. For the total energy, the calculation gives -151.39 eV per cell.

# DyBiPd6

A relaxed structure of DyBiPd6 (GGA-PBE, the Alexandria database).

Unit cell a=4.1211 b=4.1211 c=8.2947 alpha=90.00 beta=90.00 gamma=90.00
Closest atoms and distances in Å follow each position.
Space group P4/mmm (No. 123)
Asymmetric unit:
Dy  0.0000  0.0000  0.0000 (multiplicity 1)  12 Pd 2.91-2.92
Bi  0.0000  0.0000  0.5000 (multiplicity 1)  12 Pd 2.91-2.93
Pd  0.0000  0.5000  0.2493 (multiplicity 4)  8 Pd 2.91-2.93, 2 Dy 2.92, 2 Bi 2.93
Pd  0.5000  0.5000  0.0000 (multiplicity 1)  4 Dy 2.91, 8 Pd 2.92
Pd  0.5000  0.5000  0.5000 (multiplicity 1)  4 Bi 2.91, 8 Pd 2.93

Output
The value obtained for the formation energy from the elements is -566 meV/atom. The calculation puts the volume at 17.61 Å³ per atom. For the total energy, the calculation gives -44.17 eV per cell.